No. 1
Density functional theory data (GGA-PBEsol) for BaYIN2 after structural relaxation.

Structure (extended XYZ):
```
5
Lattice="4.595 0.000 0.000 0.000 4.595 0.000 0.000 0.000 5.831" Properties=species:S:1:pos:R:3 pbc="T T T"
Ba 0.000 0.000 0.000
Y 2.298 2.298 2.915
I 2.298 2.298 0.000
N 0.000 2.298 2.915
N 2.298 0.000 2.915
```

- Symmetry: P4/mmm
- VASP energy: -5.83 eV/atom
- ρ: 5.14 Mg/m³
- ΔE_f (raw): -0.269 eV/atom
- M_tot: 1.31 μB/cell

***

No. 2
Density functional theory data (GGA-PBEsol) for BaCuN after structural relaxation.

Structure (extended XYZ):
```
18
Lattice="7.146 -2.765 0.000 7.146 2.765 0.000 -2.070 0.000 9.179" Properties=species:S:1:pos:R:3 pbc="T T T"
Ba 3.960 1.313 3.399
Ba 5.593 1.562 6.884
Ba 9.296 1.313 1.190
Ba 2.926 -1.313 7.988
Ba 6.628 -1.562 2.295
Ba 8.261 -1.313 5.780
Cu 3.573 1.383 0.000
Cu 5.970 1.287 0.555
Cu 7.286 1.287 4.035
Cu 2.538 -1.383 4.589
Cu 4.935 -1.287 5.144
Cu 6.252 -1.287 8.624
N 0.423 0.226 8.200
N 1.458 -0.226 3.611
N 7.146 0.000 0.000
N 6.111 0.000 4.589
N 10.764 0.226 5.567
N 11.798 -0.226 0.978
```

- Symmetry: C2/c
- VASP energy: -5.42 eV/atom
- ρ: 5.90 Mg/m³
- ΔE_f (raw): -0.419 eV/atom
- M_tot: 0.00 μB/cell

***

No. 3
Density functional theory data (GGA-PBEsol) for SrTe2Pb after structural relaxation.

Structure (extended XYZ):
```
16
Lattice="7.911 0.000 0.000 0.000 7.911 0.000 0.000 0.000 7.911" Properties=species:S:1:pos:R:3 pbc="T T T"
Sr 0.000 0.000 0.000
Sr 0.000 3.956 3.956
Sr 3.956 0.000 3.956
Sr 3.956 3.956 0.000
Te 0.000 0.000 3.956
Te 0.000 3.956 0.000
Te 1.978 1.978 1.978
Te 1.978 5.934 5.934
Te 3.956 0.000 0.000
Te 3.956 3.956 3.956
Te 5.934 1.978 5.934
Te 5.934 5.934 1.978
Pb 1.978 1.978 5.934
Pb 1.978 5.934 1.978
Pb 5.934 1.978 1.978
Pb 5.934 5.934 5.934
```

- Symmetry: F-43m
- VASP energy: -3.63 eV/atom
- ρ: 7.38 Mg/m³
- ΔE_f (raw): -0.408 eV/atom
- M_tot: 0.00 μB/cell

***

No. 4
Density functional theory data (GGA-PBEsol) for ScPtAu2 after structural relaxation.

Structure (extended XYZ):
```
8
Lattice="3.938 0.000 0.000 0.000 3.938 0.000 0.000 0.000 8.575" Properties=species:S:1:pos:R:3 pbc="T T T"
Sc 0.000 0.000 0.000
Sc 1.969 1.969 4.288
Pt 0.000 0.000 4.288
Pt 1.969 1.969 0.000
Au 0.000 1.969 2.144
Au 0.000 1.969 6.431
Au 1.969 0.000 2.144
Au 1.969 0.000 6.431
```

- Symmetry: I4/mmm
- VASP energy: -6.13 eV/atom
- Formation enthalpy at 0 K: -0.773 eV per atom
- ρ: 15.83 Mg/m³
- M_tot: 0.00 μB/cell

***

No. 5
Density functional theory data (GGA-PBEsol) for CePb3 after structural relaxation.

Structure (extended XYZ):
```
4
Lattice="4.790 0.000 0.000 0.000 4.790 0.000 0.000 0.000 4.790" Properties=species:S:1:pos:R:3 pbc="T T T"
Ce 0.000 0.000 0.000
Pb 0.000 2.395 2.395
Pb 2.395 0.000 2.395
Pb 2.395 2.395 0.000
```

- Symmetry: Pm-3m
- VASP energy: -5.01 eV/atom
- Formation enthalpy at 0 K: -0.362 eV per atom
- ρ: 11.51 Mg/m³
- M_tot: 0.64 μB/cell

***

No. 6
Density functional theory data (GGA-PBEsol) for Ni5Rh after structural relaxation.

Structure (extended XYZ):
```
12
Lattice="9.190 0.000 0.000 0.000 2.534 0.000 -1.578 0.000 5.690" Properties=species:S:1:pos:R:3 pbc="T T T"
Ni 0.000 0.000 0.000
Ni -0.447 0.000 3.407
Ni 1.025 1.267 1.900
Ni 2.058 0.000 3.744
Ni 3.156 0.000 1.575
Ni 4.595 1.267 0.000
Ni 4.148 1.267 3.407
Ni 5.620 0.000 1.900
Ni 6.653 1.267 3.744
Ni 7.751 1.267 1.575
Rh 0.553 1.267 5.327
Rh 5.148 0.000 5.327
```

- Symmetry: Cm
- VASP energy: -6.44 eV/atom
- Formation enthalpy at 0 K: 0.051 eV per atom
- ρ: 9.94 Mg/m³
- M_tot: 8.14 μB/cell